1.
DFT (PBE) results for a relaxed Na2InAs2 crystal.

Results
**ΔE_f**: -0.27 eV/atom
**M_tot**: 0.000 μB/cell
**SG**: P4/mbm, No. 127
**Crystal system**: tetragonal
**ΔE to the lowest computed polymorph**: 72 meV/atom

Cell lengths 7.2843, 7.2843, 4.7353 Å; angles 90.00, 90.00, 90.00 degrees
With the nearest neighbours (Å) after each atom.
Atoms (fractional coordinates):
Na: 0.1705 0.6705 0.5000  6 As 3.17-3.22, 1 Na 3.51
Na: 0.6705 0.8295 0.5000  6 As 3.17-3.22, 1 Na 3.51
Na: 0.8295 0.3295 0.5000  6 As 3.17-3.22, 1 Na 3.51
Na: 0.3295 0.1705 0.5000  6 As 3.17-3.22, 1 Na 3.51
As: 0.3747 0.8747 0.0000  1 As 2.58, 2 In 2.88
As: 0.8747 0.6253 0.0000  1 As 2.58, 2 In 2.88
As: 0.6253 0.1253 0.0000  1 As 2.58, 2 In 2.88
As: 0.1253 0.3747 0.0000  1 As 2.58, 2 In 2.88
In: 0.0000 0.0000 0.0000  4 As 2.88
In: 0.5000 0.5000 0.0000  4 As 2.88

---

2.
DFT (PBE) results for a relaxed HfZrIn crystal.

Results
**ΔE_f**: -0.10 eV/atom
**M_tot**: 0.000 μB/cell
**SG**: Pnma, No. 62
**Crystal system**: orthorhombic
**ΔE to the lowest computed polymorph**: 64 meV/atom

Cell lengths 3.3622, 9.8215, 8.3352 Å; angles 90.00, 90.00, 90.00 degrees
With the nearest neighbours (Å) after each atom.
Atoms (fractional coordinates):
Hf: 0.2500 0.6001 0.1059  4 In 2.98-3.12, 2 Hf 3.13, 4 Zr 3.18-3.23
Hf: 0.7500 0.3999 0.8941  4 In 2.98-3.12, 2 Hf 3.13, 4 Zr 3.18-3.23
Hf: 0.7500 0.1001 0.3941  4 In 2.98-3.12, 2 Hf 3.13, 4 Zr 3.18-3.23
Hf: 0.2500 0.8999 0.6059  4 In 2.98-3.12, 2 Hf 3.13, 4 Zr 3.18-3.23
Zr: 0.2500 0.1704 0.0733  5 In 3.10-3.14, 4 Hf 3.18-3.23, 2 Zr 3.36
Zr: 0.7500 0.6704 0.4267  5 In 3.10-3.14, 4 Hf 3.18-3.23, 2 Zr 3.36
Zr: 0.2500 0.3296 0.5733  5 In 3.10-3.14, 4 Hf 3.18-3.23, 2 Zr 3.36
Zr: 0.7500 0.8296 0.9267  5 In 3.10-3.14, 4 Hf 3.18-3.23, 2 Zr 3.36
In: 0.7500 0.3841 0.2677  4 Hf 2.98-3.12, 5 Zr 3.10-3.14
In: 0.7500 0.1159 0.7677  4 Hf 2.98-3.12, 5 Zr 3.10-3.14
In: 0.2500 0.6159 0.7323  4 Hf 2.98-3.12, 5 Zr 3.10-3.14
In: 0.2500 0.8841 0.2323  4 Hf 2.98-3.12, 5 Zr 3.10-3.14

---

3.
DFT (PBE) results for a relaxed LiSm2Zn crystal.

Results
**ΔE_f**: -0.11 eV/atom
**M_tot**: 0.001 μB/cell
**SG**: Fm-3m, No. 225
**Crystal system**: cubic
**ΔE to the lowest computed polymorph**: 10 meV/atom

Cell lengths 5.2073, 5.2073, 5.2073 Å; angles 60.00, 60.00, 60.00 degrees
With the nearest neighbours (Å) after each atom.
Atoms (fractional coordinates):
Zn: 0.5000 0.5000 0.5000  8 Sm 3.19
Sm: 0.2500 0.2500 0.2500  4 Li 3.19, 4 Zn 3.19
Sm: 0.7500 0.7500 0.7500  4 Zn 3.19, 4 Li 3.19
Li: 0.0000 0.0000 0.0000  8 Sm 3.19

---

4.
DFT (PBE) results for a relaxed Ca2Tc2N crystal.

Results
**M_tot**: 0.000 μB/cell
**SG**: I4/mmm, No. 139
**Crystal system**: tetragonal
**ΔE to the lowest computed polymorph**: 0 meV/atom
**E_form (uncorrected)**: 269.2 meV/atom

Cell lengths 3.3666, 3.3666, 8.9468 Å; angles 79.16, 79.16, 90.00 degrees
With the nearest neighbours (Å) after each atom.
Atoms (fractional coordinates):
Ca: 0.4200 0.4200 0.1601  4 N 2.75, 1 Ca 2.76
Ca: 0.5800 0.5800 0.8399  4 N 2.75, 1 Ca 2.76
Tc: 0.7500 0.2500 0.5000  4 Tc 2.38
Tc: 0.2500 0.7500 0.5000  4 Tc 2.38
N: 0.0000 0.0000 0.0000  8 Ca 2.75

---

5.
DFT (PBE) results for a relaxed Y3Ho3Mg crystal.

Results
**ΔE_f**: 0.02 eV/atom
**M_tot**: 0.003 μB/cell
**SG**: P2_1/m, No. 11
**Crystal system**: monoclinic
**ΔE to the lowest computed polymorph**: 0 meV/atom

Cell lengths 5.0070, 10.9327, 7.9504 Å; angles 100.11, 90.00, 90.00 degrees
With the nearest neighbours (Å) after each atom.
Atoms (fractional coordinates):
Y: 0.2500 0.6734 0.7712  3 Mg 3.38-3.42, 5 Y 3.51-3.58, 4 Ho 3.52-3.57
Y: 0.2500 0.2562 0.5069  3 Mg 3.43-3.48, 3 Y 3.51-3.55, 6 Ho 3.53-3.55
Y: 0.2500 0.3931 0.9466  3 Mg 3.35-3.64, 3 Ho 3.43-3.48, 6 Y 3.43-3.58
Y: 0.7500 0.3266 0.2288  3 Mg 3.38-3.42, 5 Y 3.51-3.58, 4 Ho 3.52-3.57
Y: 0.7500 0.7438 0.4931  3 Mg 3.43-3.48, 3 Y 3.51-3.55, 6 Ho 3.53-3.55
Y: 0.7500 0.6069 0.0534  3 Mg 3.35-3.64, 3 Ho 3.43-3.48, 6 Y 3.43-3.58
Ho: 0.7500 0.8908 0.9265  4 Y 3.43-3.54, 8 Ho 3.51-3.56
Ho: 0.7500 0.0346 0.3577  8 Ho 3.51-3.56, 4 Y 3.52-3.54
Ho: 0.7500 0.1828 0.7900  1 Mg 3.47, 5 Y 3.48-3.57, 6 Ho 3.51-3.55
Ho: 0.2500 0.1092 0.0735  4 Y 3.43-3.54, 8 Ho 3.51-3.56
Ho: 0.2500 0.9654 0.6423  8 Ho 3.51-3.56, 4 Y 3.52-3.54
Ho: 0.2500 0.8172 0.2100  1 Mg 3.47, 5 Y 3.48-3.57, 6 Ho 3.51-3.55
Mg: 0.7500 0.4639 0.6447  9 Y 3.35-3.64, 1 Ho 3.47, 2 Mg 3.58
Mg: 0.2500 0.5361 0.3553  9 Y 3.35-3.64, 1 Ho 3.47, 2 Mg 3.58

---

6.
DFT (PBE) results for a relaxed BaSrHg2 crystal.

Results
**ΔE_f**: -0.52 eV/atom
**M_tot**: 0.000 μB/cell
**SG**: Fm-3m, No. 225
**Crystal system**: cubic

Cell lengths 5.8188, 5.8188, 5.8188 Å; angles 60.00, 60.00, 60.00 degrees
With the nearest neighbours (Å) after each atom.
Atoms (fractional coordinates):
Sr: 0.0000 0.0000 0.0000  8 Hg 3.56
Hg: 0.2500 0.2500 0.2500  4 Ba 3.56, 4 Sr 3.56
Hg: 0.7500 0.7500 0.7500  4 Sr 3.56, 4 Ba 3.56
Ba: 0.5000 0.5000 0.5000  8 Hg 3.56

---

7.
DFT (PBE) results for a relaxed La2NbReHg crystal.

Results
**ΔE_f**: 0.43 eV/atom
**M_tot**: 0.904 μB/cell
**SG**: P4/mmm, No. 123
**Crystal system**: tetragonal

Cell lengths 5.6480, 4.8933, 5.6480 Å; angles 90.00, 90.00, 90.00 degrees
With the nearest neighbours (Å) after each atom.
Atoms (fractional coordinates):
Re: 0.0000 0.0000 0.0000  2 Nb 2.45
Nb: 0.0000 0.5000 0.0000  2 Re 2.45
Hg: 0.5000 0.5000 0.5000  8 La 3.74, 4 Nb 3.99
La: 0.0000 0.0000 0.5000  2 Re 2.82
La: 0.5000 0.0000 0.0000  2 Re 2.82

---

8.
DFT (PBE) results for a relaxed ErZrSb crystal.

Results
**M_tot**: 0.000 μB/cell
**SG**: I4/mmm, No. 139
**Crystal system**: tetragonal
**E_form (uncorrected)**: -780.7 meV/atom

Cell lengths 8.7871, 8.7871, 8.7871 Å; angles 151.92, 151.92, 40.13 degrees
With the nearest neighbours (Å) after each atom.
Atoms (fractional coordinates):
Er: 0.6761 0.6761 0.0000  5 Sb 3.09-3.12
Er: 0.3239 0.3239 0.0000  5 Sb 3.09-3.12
Sb: 0.8652 0.8652 0.0000  4 Zr 3.08, 5 Er 3.09-3.12
Sb: 0.1348 0.1348 0.0000  4 Zr 3.08, 5 Er 3.09-3.12
Zr: 0.0000 0.5000 0.5000  4 Zr 3.01, 4 Sb 3.08
Zr: 0.5000 0.0000 0.5000  4 Zr 3.01, 4 Sb 3.08

---

Q: The highest M_tot belongs to which entry?
A: La2NbReHg

---

Q: What is the M_tot in the fourth record?
A: 0.000 μB/cell